Computed, not measured: a relaxed structure of PaSn2Bi at the GGA-PBE level of DFT.

Cell: 4.1457 4.1457 6.3739 Å, 90.00 90.00 90.00°
Sites, in units of the cell vectors:
Sn: 0.0000 0.0000 0.7398
Sn: 0.0000 0.0000 0.2602
Pa: 0.5000 0.5000 0.5000
Bi: 0.5000 0.5000 0.0000

Spin magnetization, μB per cell: 0.00
Formation energy, eV/atom: -0.0809
Relative energy among the computed polymorphs, eV/atom: 0.1355
E_tot, eV/cell: -21.7